Material: NaLiNi2Pd
Method: DFT, PBE-GGA
State: relaxed

Density of states at the Fermi level ... 1.265 states/eV per atom
Magnetic moment ... 0.14 μB/atom
ΔE_f ... 599.3 meV per atom

Unit cell a=4.1993 b=4.1993 c=4.3549 alpha=90.00 beta=90.00 gamma=90.00
Space group P4/mmm (No. 123)
Unique sites:
Na (0.0000, 0.0000, 0.0000) x1
Li (0.5000, 0.5000, 0.5000) x1
Ni (0.0000, 0.5000, 0.5000) x2
Pd (0.5000, 0.5000, 0.0000) x1